ReHgBr after structural relaxation, computed with GGA-PBE.

Cell: 4.6974 4.6974 3.0126 Å, 90.00 90.00 120.00°
Space group P-6m2 (No. 187)
One atom of each set of equivalent atoms:
Re (0.0000, 0.0000, 0.0000) [1 per cell]
Hg (0.3333, 0.6667, 0.5000) [1 per cell]
Br (0.6667, 0.3333, 0.0000) [1 per cell]

magnetization	0.00	μB per formula unit
distance to the lowest polymorph of the same formula	449	meV per atom
raw formation energy	1244	meV/atom
DFT total energy	-10.7	eV per cell
calculated density	13.5	g/cm³